Record 1
This record from the Alexandria database describes RbAlPb after structural relaxation. The functional is GGA-PBE.

```
RbAlPb
1.0
2.698 -6.962 0.000
2.698 6.962 0.000
0.000 0.000 5.663
Pb Al Rb
2 2 2
Direct
0.441 0.559 0.250 Pb
0.559 0.441 0.750 Pb
0.000 0.000 0.000 Al
0.000 0.000 0.500 Al
0.724 0.276 0.250 Rb
0.276 0.724 0.750 Rb
```

Output
Energy of formation in eV per atom: 0.110
DOS at the Fermi energy in states/eV/f.u.: 1.7
Magnetization in μB per atom: 0.0000

=====

Record 2
This record from the Alexandria database describes RbAlPb after structural relaxation. The functional is GGA-PBE.

```
RbAlPb
1.0
-12.769 -16.006 11.933
-4.954 -5.744 0.933
5.772 2.590 -4.288
Pb Al Rb
2 2 2
Direct
0.110 0.992 0.008 Pb
0.890 0.008 0.992 Pb
0.690 0.742 0.258 Al
0.310 0.258 0.742 Al
0.292 0.986 0.014 Rb
0.708 0.014 0.986 Rb
```

Output
Energy of formation in eV per atom: -0.013
DOS at the Fermi energy in states/eV/f.u.: 1.1
Magnetization in μB per atom: 0.0000

=====

Record 3
This record from the Alexandria database describes RbAlPb after structural relaxation. The functional is GGA-PBE.

```
RbAlPb
1.0
-1.980 1.774 -6.683
-1.334 -4.207 -1.893
-6.396 -1.650 3.548
Pb Al Rb
2 2 2
Direct
0.759 0.986 0.436 Pb
0.241 0.014 0.564 Pb
0.102 0.502 0.702 Al
0.898 0.498 0.298 Al
0.304 0.737 0.150 Rb
0.696 0.263 0.850 Rb
```

Output
Energy of formation in eV per atom: 0.061
DOS at the Fermi energy in states/eV/f.u.: 0.9
Magnetization in μB per atom: 0.0000

=====

> Among the records above, which one has the lowest energy of formation?

number 2